MgNiHgF6: relaxed, GGA+U.

- Magnetic moment: 3.97 μB/cell
- Energy: -4.12 eV per atom
- DOS at the Fermi energy: 0.000 states/eV per atom
- Volume: 240.5 Å³/cell

Cell lengths 5.316, 5.316, 9.827 Å; angles 90.00, 90.00, 120.00 degrees
Sites, in units of the cell vectors:
Mg (0.333, 0.667, 0.250)
Mg (0.667, 0.333, 0.750)
Ni (0.667, 0.333, 0.250)
Ni (0.333, 0.667, 0.750)
Hg (0.000, 0.000, 0.000)
Hg (0.000, 0.000, 0.500)
F (0.639, 0.641, 0.140)
F (0.002, 0.361, 0.140)
F (0.361, 0.002, 0.640)
F (0.998, 0.639, 0.860)
F (0.359, 0.361, 0.360)
F (0.002, 0.641, 0.360)
F (0.641, 0.002, 0.860)
F (0.639, 0.998, 0.360)
F (0.998, 0.359, 0.640)
F (0.359, 0.998, 0.140)
F (0.641, 0.639, 0.640)
F (0.361, 0.359, 0.860)